The following is a PBE calculation of crystalline Ta2AlRu at its relaxed geometry, from Alexandria via LeMat-Bulk.

Cell lengths 9.017, 9.017, 9.017 Å; angles 18.89, 18.89, 18.89 degrees
Element x y z (fractional)
Ta1 0.000 0.000 0.000
Ta2 0.241 0.241 0.241
Al1 0.754 0.754 0.754
Ru1 0.496 0.496 0.496

## Properties
E_form: -0.04 eV/atom